w.
Entry from the Alexandria database: Co2Re2Br after structural relaxation (PBE-GGA).

- N(E_F) (states/eV per cell) = 10.4
- crystal system = tetragonal

Unit cell a=7.484 b=7.484 c=2.695 alpha=90.00 beta=90.00 gamma=90.00
Space group P4/mbm (No. 127)
Asymmetric unit:
Co 0.163 0.337 0.000 [4 per cell]
Re 0.119 0.619 0.500 [4 per cell]
Br 0.000 0.000 0.000 [2 per cell]

x.
Entry from the Alexandria database: Co2Re2Br after structural relaxation (PBE-GGA).

- N(E_F) (states/eV per cell) = 10.9
- crystal system = tetragonal

Unit cell a=3.560 b=3.560 c=13.001 alpha=90.00 beta=90.00 gamma=90.00
Space group I4/mmm (No. 139)
Asymmetric unit:
Co 0.000 0.000 0.111 [4 per cell]
Re 0.000 0.500 0.250 [4 per cell]
Br 0.000 0.000 0.500 [2 per cell]

Least stable: x

w.
Entry from the Alexandria database: CoRh2Br after structural relaxation (PBE-GGA).

- N(E_F) (states/eV per cell) = 6.7
- crystal system = tetragonal

Unit cell a=4.531 b=4.531 c=2.943 alpha=90.00 beta=90.00 gamma=90.00
Space group P4/mmm (No. 123)
Asymmetric unit:
Co 0.000 0.000 0.000 [1 per cell]
Rh 0.000 0.500 0.500 [2 per cell]
Br 0.500 0.500 0.000 [1 per cell]

x.
Entry from the Alexandria database: CoRh2Br after structural relaxation (PBE-GGA).

- N(E_F) (states/eV per cell) = 12.2
- crystal system = orthorhombic

Unit cell a=2.955 b=4.465 c=9.037 alpha=90.00 beta=90.00 gamma=90.00
Space group Imm2 (No. 44)
Asymmetric unit:
Co 0.000 0.000 0.000 [2 per cell]
Rh 0.000 0.000 0.530 [2 per cell]
Rh 0.000 0.500 0.753 [2 per cell]
Br 0.000 0.500 0.270 [2 per cell]

Least stable: w

w.
Entry from the Alexandria database: CoRh2Br after structural relaxation (PBE-GGA).

- N(E_F) (states/eV per cell) = 6.9
- crystal system = orthorhombic

Unit cell a=2.927 b=3.349 c=6.752 alpha=90.00 beta=90.00 gamma=90.00
Space group Pmm2 (No. 25)
Asymmetric unit:
Co 0.000 0.000 0.000 [1 per cell]
Rh 0.000 0.000 0.607 [1 per cell]
Rh 0.500 0.500 0.818 [1 per cell]
Br 0.000 0.500 0.293 [1 per cell]

x.
Entry from the Alexandria database: CoRh2Br after structural relaxation (PBE-GGA).

- N(E_F) (states/eV per cell) = 12.1
- crystal system = orthorhombic

Unit cell a=2.852 b=4.917 c=8.948 alpha=90.00 beta=90.00 gamma=90.00
Space group Cmmm (No. 65)
Asymmetric unit:
Co 0.000 0.000 0.000 [2 per cell]
Rh 0.000 0.500 0.227 [4 per cell]
Br 0.000 0.000 0.500 [2 per cell]

y.
Entry from the Alexandria database: CoRh2Br after structural relaxation (PBE-GGA).

- N(E_F) (states/eV per cell) = 14.8
- crystal system = orthorhombic

Unit cell a=2.823 b=4.951 c=8.894 alpha=90.00 beta=90.00 gamma=90.00
Space group Cmm2 (No. 35)
Asymmetric unit:
Co 0.000 0.000 0.000 [2 per cell]
Rh 0.000 0.000 0.483 [2 per cell]
Rh 0.000 0.500 0.231 [2 per cell]
Br 0.000 0.500 0.757 [2 per cell]

Least stable: y

w.
Entry from the Alexandria database: CoRh2Br after structural relaxation (PBE-GGA).

- N(E_F) (states/eV per cell) = 34.4
- crystal system = cubic

Unit cell a=6.250 b=6.250 c=6.250 alpha=90.00 beta=90.00 gamma=90.00
Space group F-43m (No. 216)
Asymmetric unit:
Co 0.000 0.000 0.000 [4 per cell]
Rh 0.000 0.000 0.500 [4 per cell]
Rh 0.250 0.250 0.750 [4 per cell]
Br 0.250 0.250 0.250 [4 per cell]

x.
Entry from the Alexandria database: CoRh2Br after structural relaxation (PBE-GGA).

- N(E_F) (states/eV per cell) = 15.0
- crystal system = trigonal

Unit cell a=2.9193 b=2.9193 c=24.8017 alpha=90.00 beta=90.00 gamma=120.00
Space group R-3m (No. 166, hexagonal axes)
Asymmetric unit:
Co 0.0000 0.0000 0.0000 [3 per cell]
Rh 0.0000 0.0000 0.2551 [6 per cell]
Br 0.0000 0.0000 0.5000 [3 per cell]

Least stable: w

w.
Entry from the Alexandria database: CoRh2Br after structural relaxation (PBE-GGA).

- N(E_F) (states/eV per cell) = 6.7
- crystal system = tetragonal

Unit cell a=2.933 b=2.933 c=7.107 alpha=90.00 beta=90.00 gamma=90.00
Space group P4mm (No. 99)
Asymmetric unit:
Co 0.000 0.000 0.000 [1 per cell]
Rh 0.000 0.000 0.466 [1 per cell]
Rh 0.500 0.500 0.221 [1 per cell]
Br 0.500 0.500 0.750 [1 per cell]

x.
Entry from the Alexandria database: CoRh2Br after structural relaxation (PBE-GGA).

- N(E_F) (states/eV per cell) = 14.4
- crystal system = monoclinic

Unit cell a=5.460 b=8.861 c=2.980 alpha=90.00 beta=121.12 gamma=90.00
Space group C2/m (No. 12)
Asymmetric unit:
Co 0.000 0.000 0.000 [2 per cell]
Rh 0.250 0.250 0.500 [4 per cell]
Br 0.000 0.500 0.000 [2 per cell]

Least stable: x

w.
Entry from the Alexandria database: CoRhBr after structural relaxation (PBE-GGA).

- N(E_F) (states/eV per cell) = 6.7
- crystal system = tetragonal

Unit cell a=3.041 b=3.041 c=10.555 alpha=90.00 beta=90.00 gamma=90.00
Space group I4mm (No. 107)
Asymmetric unit:
Co 0.000 0.000 0.000 [2 per cell]
Rh 0.000 0.000 0.636 [2 per cell]
Br 0.000 0.000 0.330 [2 per cell]

x.
Entry from the Alexandria database: CoRhBr after structural relaxation (PBE-GGA).

- N(E_F) (states/eV per cell) = 11.9
- crystal system = cubic

Unit cell a=5.944 b=5.944 c=5.944 alpha=90.00 beta=90.00 gamma=90.00
Space group F-43m (No. 216)
Asymmetric unit:
Co 0.000 0.000 0.000 [4 per cell]
Rh 0.250 0.250 0.750 [4 per cell]
Br 0.250 0.250 0.250 [4 per cell]

Least stable: x